(1)
First-principles (GGA-PBE) data for an optimized crystal structure of SmPu3I8, as listed in the Alexandria database.

Results
- raw total energy (eV/atom) = -6.127
- raw formation energy (eV/atom) = -1.117
- D(E_F) (states/eV per atom) = 2.92

abc: 8.632 8.632 9.365
angles: 117.79 117.79 60.01
Fractional positions:
Sm1 0.000 0.000 0.000
Pu1 0.000 0.500 0.000
Pu2 0.500 0.000 0.000
Pu3 0.500 0.500 0.000
I1 0.247 0.751 0.752
I2 0.249 0.249 0.248
I3 0.249 0.753 0.248
I4 0.250 0.250 0.753
I5 0.750 0.750 0.247
I6 0.751 0.247 0.752
I7 0.751 0.751 0.752
I8 0.753 0.249 0.248

(2)
First-principles (GGA-PBE) data for an optimized crystal structure of SmPuI4, as listed in the Alexandria database.

Results
- raw total energy (eV/atom) = -5.370
- raw formation energy (eV/atom) = -1.161
- D(E_F) (states/eV per atom) = 2.16

abc: 17.472 4.268 7.444
angles: 90.00 114.80 90.00
Fractional positions:
Sm1 0.000 0.000 0.000
Sm2 0.500 0.500 0.000
Pu1 0.000 0.500 0.500
Pu2 0.500 0.000 0.500
I1 0.124 0.000 0.793
I2 0.125 0.500 0.288
I3 0.375 0.000 0.712
I4 0.376 0.500 0.207
I5 0.624 0.500 0.793
I6 0.625 0.000 0.288
I7 0.875 0.500 0.712
I8 0.876 0.000 0.207

(3)
First-principles (GGA-PBE) data for an optimized crystal structure of SmPuI4, as listed in the Alexandria database.

Results
- raw total energy (eV/atom) = -5.370
- raw formation energy (eV/atom) = -1.161
- D(E_F) (states/eV per atom) = 2.18

abc: 16.154 4.270 7.448
angles: 90.00 98.94 90.00
Fractional positions:
Sm1 0.000 0.000 0.000
Sm2 0.500 0.500 0.000
Pu1 0.000 0.500 0.500
Pu2 0.500 0.000 0.500
I1 0.123 0.000 0.371
I2 0.124 0.500 0.876
I3 0.376 0.000 0.124
I4 0.377 0.500 0.629
I5 0.623 0.500 0.371
I6 0.624 0.000 0.876
I7 0.876 0.500 0.124
I8 0.877 0.000 0.629

(4)
First-principles (GGA-PBE) data for an optimized crystal structure of Sm2PuI, as listed in the Alexandria database.

Results
- raw total energy (eV/atom) = -6.545
- raw formation energy (eV/atom) = -0.215
- D(E_F) (states/eV per atom) = 2.30

abc: 3.642 3.642 9.466
angles: 90.00 90.00 90.00
Fractional positions:
Sm1 0.000 0.000 0.248
Sm2 0.000 0.000 0.752
Pu1 0.500 0.500 0.500
I1 0.500 0.500 0.000

(5)
First-principles (GGA-PBE) data for an optimized crystal structure of PuSnI, as listed in the Alexandria database.

Results
- raw total energy (eV/atom) = -7.231
- raw formation energy (eV/atom) = -0.602
- D(E_F) (states/eV per atom) = 4.44

abc: 4.323 4.323 9.607
angles: 90.00 90.00 90.00
Fractional positions:
Pu1 0.250 0.250 0.239
Pu2 0.750 0.750 0.761
Sn1 0.250 0.750 0.500
Sn2 0.750 0.250 0.500
I1 0.250 0.250 0.875
I2 0.750 0.750 0.125

(6)
First-principles (GGA-PBE) data for an optimized crystal structure of PuSnI2, as listed in the Alexandria database.

Results
- raw total energy (eV/atom) = -5.833
- raw formation energy (eV/atom) = -0.474
- D(E_F) (states/eV per atom) = 1.79

abc: 3.913 3.913 32.840
angles: 90.00 90.00 120.00
Fractional positions:
Pu1 0.000 0.000 0.000
Pu2 0.333 0.667 0.667
Pu3 0.667 0.333 0.333
Sn1 0.000 0.000 0.500
Sn2 0.333 0.667 0.167
Sn3 0.667 0.333 0.833
I1 0.000 0.000 0.400
I2 0.000 0.000 0.600
I3 0.333 0.667 0.067
I4 0.333 0.667 0.266
I5 0.667 0.333 0.734
I6 0.667 0.333 0.933

(7)
First-principles (GGA-PBE) data for an optimized crystal structure of PuSn2I6, as listed in the Alexandria database.

Results
- raw total energy (eV/atom) = -4.198
- raw formation energy (eV/atom) = -0.683
- D(E_F) (states/eV per atom) = 1.89

abc: 4.571 8.730 10.951
angles: 104.49 90.06 105.08
Fractional positions:
Pu1 0.000 0.000 0.000
Sn1 0.333 0.667 0.668
Sn2 0.667 0.333 0.332
I1 0.028 0.055 0.301
I2 0.304 0.610 0.366
I3 0.365 0.728 0.974
I4 0.635 0.272 0.026
I5 0.696 0.390 0.634
I6 0.972 0.945 0.699

(8)
First-principles (GGA-PBE) data for an optimized crystal structure of PuTlSnI6, as listed in the Alexandria database.

Results
- raw total energy (eV/atom) = -4.120
- raw formation energy (eV/atom) = -0.787
- D(E_F) (states/eV per atom) = 1.32

abc: 8.066 8.066 15.304
angles: 90.00 90.00 120.00
Fractional positions:
Pu1 0.333 0.667 0.250
Pu2 0.667 0.333 0.750
Tl1 0.000 0.000 0.000
Tl2 0.000 0.000 0.500
Sn1 0.333 0.667 0.750
Sn2 0.667 0.333 0.250
I1 0.009 0.368 0.131
I2 0.009 0.641 0.369
I3 0.359 0.368 0.369
I4 0.359 0.991 0.131
I5 0.368 0.009 0.631
I6 0.368 0.359 0.869
I7 0.632 0.641 0.131
I8 0.632 0.991 0.369
I9 0.641 0.009 0.869
I10 0.641 0.632 0.631
I11 0.991 0.359 0.631
I12 0.991 0.632 0.869

(9)
First-principles (GGA-PBE) data for an optimized crystal structure of PuTlSn2I8, as listed in the Alexandria database.

Results
- raw total energy (eV/atom) = -3.772
- raw formation energy (eV/atom) = -0.680
- D(E_F) (states/eV per atom) = 0.99

abc: 7.411 9.534 7.789
angles: 90.00 90.91 90.00
Fractional positions:
Pu1 0.000 0.000 0.000
Tl1 0.000 0.500 0.000
Sn1 0.500 0.252 0.500
Sn2 0.500 0.748 0.500
I1 0.242 0.000 0.672
I2 0.253 0.226 0.158
I3 0.253 0.774 0.158
I4 0.270 0.500 0.637
I5 0.730 0.500 0.363
I6 0.747 0.226 0.842
I7 0.747 0.774 0.842
I8 0.758 0.000 0.328

(10)
First-principles (GGA-PBE) data for an optimized crystal structure of PuTl2SnI6, as listed in the Alexandria database.

Results
- raw total energy (eV/atom) = -3.936
- raw formation energy (eV/atom) = -0.700
- D(E_F) (states/eV per atom) = 1.92

abc: 8.847 8.847 8.847
angles: 57.71 57.71 57.71
Fractional positions:
Pu1 0.000 0.000 0.000
Tl1 0.301 0.301 0.301
Tl2 0.799 0.799 0.799
Sn1 0.501 0.501 0.501
I1 0.139 0.739 0.357
I2 0.232 0.641 0.863
I3 0.357 0.139 0.739
I4 0.641 0.863 0.232
I5 0.739 0.357 0.139
I6 0.863 0.232 0.641

(11)
First-principles (GGA-PBE) data for an optimized crystal structure of SrPuI4, as listed in the Alexandria database.

Results
- raw total energy (eV/atom) = -5.055
- raw formation energy (eV/atom) = -1.353
- D(E_F) (states/eV per atom) = 2.89

abc: 8.039 4.655 8.170
angles: 90.00 109.01 90.00
Fractional positions:
Sr1 0.000 0.000 0.000
Pu1 0.000 0.500 0.500
I1 0.237 0.000 0.736
I2 0.242 0.500 0.252
I3 0.758 0.500 0.748
I4 0.763 0.000 0.264

(12)
First-principles (GGA-PBE) data for an optimized crystal structure of SrPuI4, as listed in the Alexandria database.

Results
- raw total energy (eV/atom) = -5.055
- raw formation energy (eV/atom) = -1.353
- D(E_F) (states/eV per atom) = 2.90

abc: 15.436 4.658 8.176
angles: 90.00 100.70 90.00
Fractional positions:
Sr1 0.000 0.000 0.000
Sr2 0.500 0.500 0.000
Pu1 0.000 0.500 0.500
Pu2 0.500 0.000 0.500
I1 0.119 0.000 0.382
I2 0.121 0.500 0.868
I3 0.379 0.000 0.132
I4 0.381 0.500 0.618
I5 0.619 0.500 0.382
I6 0.621 0.000 0.868
I7 0.879 0.500 0.132
I8 0.881 0.000 0.618